# 1
Below is an optimized crystal structure of Lu4CoPC2, with properties calculated at the GGA-PBE level.

Values from the calculation:
Magnetization (Bohr magnetons per cell): 1.02
Volume (Å³/atom): 17.7

```
data_Lu4CoPC2
_chemical_formula_sum 'Lu4 Co1 P1 C2'
_cell_length_a 3.5123
_cell_length_b 3.5123
_cell_length_c 13.2349
_cell_angle_alpha 90.00
_cell_angle_beta 90.00
_cell_angle_gamma 120.00
_symmetry_space_group_name_H-M 'P -6 m 2'
_symmetry_Int_Tables_number 187
_symmetry_space_group_name_Hall 'P -6 2'
loop_
_atom_site_label
_atom_site_fract_x
_atom_site_fract_y
_atom_site_fract_z
Lu1 0.0000 0.0000 0.1483
Lu2 0.3333 0.6667 0.3482
Co1 0.0000 0.0000 0.5000
P1 0.3333 0.6667 0.0000
C1 0.6667 0.3333 0.2496
```

=====

# 2
Below is an optimized crystal structure of Lu4CoPbC2, with properties calculated at the GGA-PBE level.

Values from the calculation:
Magnetization (Bohr magnetons per cell): 0.69
Volume (Å³/atom): 19.4

```
data_Lu4CoPbC2
_chemical_formula_sum 'Lu4 Co1 Pb1 C2'
_cell_length_a 3.5108
_cell_length_b 3.5108
_cell_length_c 14.5236
_cell_angle_alpha 90.00
_cell_angle_beta 90.00
_cell_angle_gamma 120.00
_symmetry_space_group_name_H-M 'P -6 m 2'
_symmetry_Int_Tables_number 187
_symmetry_space_group_name_Hall 'P -6 2'
loop_
_atom_site_label
_atom_site_fract_x
_atom_site_fract_y
_atom_site_fract_z
Lu1 0.0000 0.0000 0.1334
Lu2 0.3333 0.6667 0.3126
Co1 0.3333 0.6667 0.0000
Pb1 0.0000 0.0000 0.5000
C1 0.6667 0.3333 0.2284
```

=====

# 3
Below is an optimized crystal structure of Lu4CoC2S, with properties calculated at the GGA-PBE level.

Values from the calculation:
Magnetization (Bohr magnetons per cell): 1.01
Volume (Å³/atom): 17.6

```
data_Lu4CoC2S
_chemical_formula_sum 'Lu4 Co1 C2 S1'
_cell_length_a 3.5463
_cell_length_b 3.5463
_cell_length_c 12.9215
_cell_angle_alpha 90.00
_cell_angle_beta 90.00
_cell_angle_gamma 120.00
_symmetry_space_group_name_H-M 'P -6 m 2'
_symmetry_Int_Tables_number 187
_symmetry_space_group_name_Hall 'P -6 2'
loop_
_atom_site_label
_atom_site_fract_x
_atom_site_fract_y
_atom_site_fract_z
Lu1 0.0000 0.0000 0.1441
Lu2 0.3333 0.6667 0.3459
Co1 0.0000 0.0000 0.5000
C1 0.6667 0.3333 0.2441
S1 0.3333 0.6667 0.0000
```

=====

# 4
Below is an optimized crystal structure of Lu4CoC2S, with properties calculated at the GGA-PBE level.

Values from the calculation:
Magnetization (Bohr magnetons per cell): 1.01
Volume (Å³/atom): 17.6

```
data_Lu4CoC2S
_chemical_formula_sum 'Lu4 Co1 C2 S1'
_cell_length_a 3.5413
_cell_length_b 3.5413
_cell_length_c 12.9407
_cell_angle_alpha 90.00
_cell_angle_beta 90.00
_cell_angle_gamma 120.00
_symmetry_space_group_name_H-M 'P -6 m 2'
_symmetry_Int_Tables_number 187
_symmetry_space_group_name_Hall 'P -6 2'
loop_
_atom_site_label
_atom_site_fract_x
_atom_site_fract_y
_atom_site_fract_z
Lu1 0.0000 0.0000 0.1439
Lu2 0.6667 0.3333 0.3459
Co1 0.0000 0.0000 0.5000
C1 0.3333 0.6667 0.2440
S1 0.6667 0.3333 0.0000
```

=====

# 5
Below is an optimized crystal structure of Lu4CoSbC2, with properties calculated at the GGA-PBE level.

Values from the calculation:
Magnetization (Bohr magnetons per cell): 0.70
Volume (Å³/atom): 18.9

```
data_Lu4CoSbC2
_chemical_formula_sum 'Lu4 Co1 Sb1 C2'
_cell_length_a 3.5223
_cell_length_b 3.5223
_cell_length_c 14.0942
_cell_angle_alpha 90.00
_cell_angle_beta 90.00
_cell_angle_gamma 120.00
_symmetry_space_group_name_H-M 'P -6 m 2'
_symmetry_Int_Tables_number 187
_symmetry_space_group_name_Hall 'P -6 2'
loop_
_atom_site_label
_atom_site_fract_x
_atom_site_fract_y
_atom_site_fract_z
Lu1 0.0000 0.0000 0.1373
Lu2 0.3333 0.6667 0.3217
Co1 0.3333 0.6667 0.0000
Sb1 0.0000 0.0000 0.5000
C1 0.6667 0.3333 0.2352
```

=====

# 6
Below is an optimized crystal structure of Lu4CoSbC2, with properties calculated at the GGA-PBE level.

Values from the calculation:
Magnetization (Bohr magnetons per cell): 0.71
Volume (Å³/atom): 18.9

```
data_Lu4CoSbC2
_chemical_formula_sum 'Lu4 Co1 Sb1 C2'
_cell_length_a 3.5221
_cell_length_b 3.5221
_cell_length_c 14.0875
_cell_angle_alpha 90.00
_cell_angle_beta 90.00
_cell_angle_gamma 120.00
_symmetry_space_group_name_H-M 'P -6 m 2'
_symmetry_Int_Tables_number 187
_symmetry_space_group_name_Hall 'P -6 2'
loop_
_atom_site_label
_atom_site_fract_x
_atom_site_fract_y
_atom_site_fract_z
Lu1 0.0000 0.0000 0.1384
Lu2 0.6667 0.3333 0.3229
Co1 0.6667 0.3333 0.0000
Sb1 0.0000 0.0000 0.5000
C1 0.3333 0.6667 0.2364
```

=====

no.,uncorrected energy (eV/atom)
1,-6.544
2,-6.238
3,-6.650
4,-6.650
5,-6.360
6,-6.360